# 1
Compound: Pm3Pr3Ho2
Source: Alexandria via LeMat-Bulk
Functional: PBE-GGA
Structure: relaxed

As for the excess energy over the best structure of this formula in the dataset: 42 meV/atom. The energy comes out at -74.33 eV/cell. Its formation energy from the elements is 73 meV/atom.

It has space group C2/m (No. 12), with a = 16.7099 Å, b = 5.8292 Å, c = 6.0765 Å, α = 90.00°, β = 111.19° and γ = 90.00°. The inequivalent atoms are Pm at (0.0000, 0.0000, 0.0000), Pm at (0.1345, 0.0000, 0.5799), Pr at (0.0000, 0.5000, 0.5000), Pr at (0.1351, 0.5000, 0.1910) and Ho at (0.2498, 0.0000, 0.1819).

---

# 2
Compound: Pm5Pr2Ho4
Source: Alexandria via LeMat-Bulk
Functional: PBE-GGA
Structure: relaxed

As for the excess energy over the best structure of this formula in the dataset: 106 meV/atom. The energy comes out at -99.40 eV/cell. Its formation energy from the elements is 175 meV/atom.

It has space group Immm (No. 71), with a = 3.5414 Å, b = 9.1743 Å, c = 23.6041 Å, α = 90.00°, β = 90.00° and γ = 90.00°. The inequivalent atoms are Pm at (0.0000, 0.0000, 0.0000), Pm at (0.0000, 0.3027, 0.3576), Pr at (0.0000, 0.5000, 0.2321), Ho at (0.0000, 0.1864, 0.5000) and Ho at (0.0000, 0.5000, 0.0964).

---

# 3
Compound: Pm3PrHo3
Source: Alexandria via LeMat-Bulk
Functional: PBE-GGA
Structure: relaxed

As for the excess energy over the best structure of this formula in the dataset: 58 meV/atom. The energy comes out at -93.51 eV/cell. Its formation energy from the elements is 228 meV/atom.

It has space group R3m (No. 160, hexagonal axes), with a = 10.0014 Å, b = 10.0014 Å, c = 8.2145 Å, α = 90.00°, β = 90.00° and γ = 120.00°. The inequivalent atoms are Pm at (0.2128, 0.4257, 0.0000), Pr at (0.0000, 0.0000, 0.6263) and Ho at (0.1994, 0.3987, 0.5706).

---

no.,mass density (g cm⁻³)
1,7.15
2,7.22
3,7.50